First-principles (PBE) data for a geometry-optimized LiGe5Se6 structure, as listed in Alexandria.

Cell: 6.8332 11.8833 6.8394 Å, 90.00 109.17 90.00°
Closest atoms and distances in Å follow each position.
Space group C2/m (No. 12)
Inequivalent atoms, fractional coordinates:
Li  0.0000  0.0000  0.0000 x2  6 Se 2.76-2.81
Ge  0.0000  0.1704  0.5000 x4  6 Se 2.76-2.85
Ge  0.0000  0.3382  0.0000 x4  6 Se 2.74-2.84
Ge  0.0000  0.5000  0.5000 x2  6 Se 2.81
Se  0.2492  0.5000  0.2454 x4  5 Ge 2.74-2.85, 1 Li 2.76
Se  0.2505  0.1675  0.2496 x8  5 Ge 2.76-2.84, 1 Li 2.81

Computed properties:
Theoretical density, kg/m3: 5343
N(E_F), states/eV/atom: 0.485
ΔE_f (raw), eV per atom: -0.340
Energy, eV/atom: -4.17